1.
! Cs2TlAg2 | Alexandria via LeMat-Bulk | PBE | relaxed; values from VASP
&SYSTEM
  ibrav = 0, nat = 10, ntyp = 3
/
ATOMIC_SPECIES
Cs 132.91 Cs.upf
Tl 204.38 Tl.upf
Ag 107.87 Ag.upf
CELL_PARAMETERS angstrom
6.028 -3.696 0.000
6.028 3.696 0.000
-2.083 0.000 8.879
ATOMIC_POSITIONS angstrom
Cs 1.460 1.012 1.164
Cs 0.418 -1.012 5.604
Cs 9.554 1.012 3.276
Cs 8.512 -1.012 7.715
Tl 5.507 0.700 2.220
Tl 4.465 -0.700 6.659
Ag 3.262 1.058 4.435
Ag 2.220 -1.058 8.874
Ag 7.752 1.058 0.005
Ag 6.710 -1.058 4.444
! * density of states at the Fermi level: 0.406 states/eV per atom
! * offset from the most stable computed form: 0 meV per atom
! * magnetic moment: 0.00 μB per cell
! * formation energy: 0.0255 eV per atom

***

2.
! CsTlAg | Alexandria via LeMat-Bulk | PBE | relaxed; values from VASP
&SYSTEM
  ibrav = 0, nat = 6, ntyp = 3
/
ATOMIC_SPECIES
Cs 132.91 Cs.upf
Tl 204.38 Tl.upf
Ag 107.87 Ag.upf
CELL_PARAMETERS angstrom
5.579 0.000 0.000
0.000 4.877 0.000
-0.836 0.000 8.781
ATOMIC_POSITIONS angstrom
Cs 1.014 1.219 2.964
Cs 3.729 3.658 5.817
Tl 1.145 1.219 7.567
Tl 3.598 3.658 1.214
Ag 0.836 3.658 0.081
Ag 3.908 1.219 8.700
! * density of states at the Fermi level: 0.575 states/eV per atom
! * offset from the most stable computed form: 0 meV per atom
! * magnetic moment: 0.00 μB per cell
! * formation energy: -0.0325 eV per atom